# 1
# VOs4, relaxed, DFT PBE
data_VOs4
_chemical_formula_sum 'V2 Os8'
_cell_length_a 3.777
_cell_length_b 3.777
_cell_length_c 11.576
_cell_angle_alpha 90.00
_cell_angle_beta 90.00
_cell_angle_gamma 90.00
_symmetry_space_group_name_H-M 'I 4/m m m'
_symmetry_Int_Tables_number 139
_symmetry_space_group_name_Hall '-I 4 2'
loop_
_atom_site_label
_atom_site_type_symbol
_atom_site_fract_x
_atom_site_fract_y
_atom_site_fract_z
V1 V 0.000 0.000 0.000
Os1 Os 0.000 0.000 0.399
Os2 Os 0.000 0.500 0.250
# **Excess energy over the best structure of this formula in the dataset**: 0 meV/atom
# **Volume**: 16.52 Å³/atom
# **Formation enthalpy at 0 K**: 0.661 eV per atom
# **ρ**: 16.323 g cm⁻³
# **Total magnetization**: 0.14 μB/atom


# 2
# CaScPb2, relaxed, DFT PBE
data_CaScPb2
_chemical_formula_sum 'Ca1 Sc1 Pb2'
_cell_length_a 3.484
_cell_length_b 4.328
_cell_length_c 7.243
_cell_angle_alpha 90.00
_cell_angle_beta 90.50
_cell_angle_gamma 90.00
_symmetry_space_group_name_H-M 'P 1 2/m 1'
_symmetry_Int_Tables_number 10
loop_
_symmetry_equiv_pos_as_xyz
'x,y,z'
'-x,-y,-z'
'-x,y,-z'
'x,-y,z'
loop_
_atom_site_label
_atom_site_type_symbol
_atom_site_fract_x
_atom_site_fract_y
_atom_site_fract_z
Ca1 Ca 0.000 0.000 0.000
Sc1 Sc 0.000 0.000 0.500
Pb1 Pb 0.500 0.500 0.271
# **Volume**: 27.30 Å³/atom
# **Formation enthalpy at 0 K**: -0.411 eV per atom
# **ρ**: 7.594 g cm⁻³
# **Total magnetization**: 0.04 μB/atom


# 3
# Sm2InTc, relaxed, DFT PBE
data_Sm2InTc
_chemical_formula_sum 'Sm6 In3 Tc3'
_cell_length_a 3.4793
_cell_length_b 3.4793
_cell_length_c 32.2359
_cell_angle_alpha 90.00
_cell_angle_beta 90.00
_cell_angle_gamma 120.00
_symmetry_space_group_name_H-M 'R -3 m'
_symmetry_Int_Tables_number 166
_symmetry_space_group_name_Hall '-R 3 2"'
loop_
_atom_site_label
_atom_site_type_symbol
_atom_site_fract_x
_atom_site_fract_y
_atom_site_fract_z
Sm1 Sm 0.0000 0.0000 0.1035
In1 In 0.0000 0.0000 0.0000
Tc1 Tc 0.0000 0.0000 0.5000
# **Excess energy over the best structure of this formula in the dataset**: 383 meV/atom
# **Volume**: 28.16 Å³/atom
# **Formation enthalpy at 0 K**: 0.246 eV per atom
# **ρ**: 7.570 g cm⁻³
# **Total magnetization**: 0.00 μB/atom


# 4
# TmNp2Si2Pt7, relaxed, DFT PBE
data_TmNp2Si2Pt7
_chemical_formula_sum 'Tm2 Np4 Si4 Pt14'
_cell_length_a 5.733
_cell_length_b 5.667
_cell_length_c 13.841
_cell_angle_alpha 90.00
_cell_angle_beta 98.27
_cell_angle_gamma 90.00
_symmetry_space_group_name_H-M 'C 1 2/m 1'
_symmetry_Int_Tables_number 12
loop_
_symmetry_equiv_pos_as_xyz
'x,y,z'
'-x,-y,-z'
'-x,y,-z'
'x,-y,z'
'x+1/2,y+1/2,z'
'-x+1/2,-y+1/2,-z'
'-x+1/2,y+1/2,-z'
'x+1/2,-y+1/2,z'
loop_
_atom_site_label
_atom_site_type_symbol
_atom_site_fract_x
_atom_site_fract_y
_atom_site_fract_z
Tm1 Tm 0.000 0.000 0.000
Np1 Np 0.114 0.000 0.359
Si1 Si 0.090 0.500 0.253
Pt1 Pt 0.000 0.500 0.000
Pt2 Pt 0.130 0.500 0.426
Pt3 Pt 0.194 0.250 0.842
# **Energy relative to the elements, uncorrected**: -0.855 eV/atom
# **Volume**: 18.54 Å³/atom
# **ρ**: 15.407 g cm⁻³
# **Total magnetization**: 0.68 μB/atom


Q: The highest volume belongs to which entry?
A: Sm2InTc


Q: What is the volume in the third record?
A: 28.16 Å³/atom


Q: What is the formula in the second record?
A: CaScPb2